Entry 1:
# Hg3BrO, relaxed, DFT PBE
data_Hg3BrO
_chemical_formula_sum 'Hg12 Br4 O4'
_cell_length_a 9.4447
_cell_length_b 7.2280
_cell_length_c 9.0836
_cell_angle_alpha 90.00
_cell_angle_beta 111.32
_cell_angle_gamma 90.00
_space_group_name_H-M_alt 'P 1 21/c 1'
_space_group_IT_number 14
loop_
_space_group_symop_operation_xyz
'x,y,z'
'-x,-y,-z'
'-x,y+1/2,-z+1/2'
'x,-y+1/2,z+1/2'
loop_
_atom_site_label
_atom_site_type_symbol
_atom_site_fract_x
_atom_site_fract_y
_atom_site_fract_z
_atom_site_occupancy
Hg1 Hg 0.0083 0.1830 0.2416 1
Hg2 Hg 0.2477 0.6479 0.0785 1
Hg3 Hg 0.3568 0.0548 0.9457 1
Br1 Br 0.3290 0.0922 0.2806 1
O1 O 0.0994 0.0665 0.8517 1
# Formation energy without anion corrections   -0.23 eV per atom

---

Entry 2:
# TeIr2Br, relaxed, DFT PBE
data_TeIr2Br
_chemical_formula_sum 'Te1 Ir2 Br1'
_cell_length_a 3.0151
_cell_length_b 4.6601
_cell_length_c 5.2560
_cell_angle_alpha 90.00
_cell_angle_beta 90.00
_cell_angle_gamma 90.00
_space_group_name_H-M_alt 'P m m m'
_space_group_IT_number 47
loop_
_space_group_symop_operation_xyz
'x,y,z'
'-x,-y,-z'
'-x,-y,z'
'x,y,-z'
'x,-y,-z'
'-x,y,z'
'-x,y,-z'
'x,-y,z'
loop_
_atom_site_label
_atom_site_type_symbol
_atom_site_fract_x
_atom_site_fract_y
_atom_site_fract_z
_atom_site_occupancy
Te1 Te 0.0000 0.0000 0.0000 1
Ir1 Ir 0.0000 0.5000 0.5000 1
Ir2 Ir 0.5000 0.5000 0.0000 1
Br1 Br 0.5000 0.0000 0.5000 1
# Formation energy without anion corrections   0.98 eV per atom

---

Computed polymorph energy (0 for the lowest one) (eV per atom) in order:
0.0000 0.7876
Computed total magnetization (μB per formula unit) in order:
0.0 0.0